Computed, not measured: a relaxed structure of GdHo2Mg3Al2Zn at the PBE level of DFT.

Calculated values
space-group type = Amm2 (38)
E = -0.1227 hartree per atom
total magnetization = 0.00 μB/f.u.

Unit cell a=4.472 b=7.364 c=7.364 alpha=120.31 beta=90.00 gamma=90.00
Atoms (fractional coordinates):
Ho  0.000  0.419  0.999
Ho  0.000  0.999  0.419
Zn  0.000  0.003  0.003
Al  0.500  0.331  0.667
Al  0.500  0.667  0.331
Gd  0.000  0.580  0.580
Mg  0.500  0.759  0.000
Mg  0.500  0.241  0.241
Mg  0.500  0.000  0.759